This record from Alexandria describes a relaxed structure of RbZrGaI6. The functional is PBE.

Geometry as POSCAR:
```
RbZrGaI6
1.0
8.045 0.000 0.000
-4.022 6.967 0.000
0.000 0.000 15.789
Rb Zr Ga I
2 2 2 12
Direct
0.000 0.000 0.000
0.000 0.000 0.500
0.667 0.333 0.250
0.333 0.667 0.750
0.333 0.667 0.250
0.667 0.333 0.750
0.649 0.617 0.144
0.968 0.351 0.144
0.351 0.968 0.644
0.032 0.649 0.856
0.383 0.351 0.356
0.968 0.617 0.356
0.617 0.968 0.856
0.649 0.032 0.356
0.032 0.383 0.644
0.383 0.032 0.144
0.617 0.649 0.644
0.351 0.383 0.856
```

Computed properties:
As for the crystal system: trigonal. The value obtained for the formation energy without anion corrections is -0.924 eV/atom. As for the volume: 442.5 Å³/f.u.